# BaHgPt, relaxed, DFT PBEsol
# SG   P-6m2
# Energy   -3.7750 eV/atom
# E_form   -52.9 kJ/mol of atoms
data_BaHgPt
_chemical_formula_sum 'Ba1 Hg1 Pt1'
_cell_length_a 4.745
_cell_length_b 4.745
_cell_length_c 4.270
_cell_angle_alpha 90.00
_cell_angle_beta 90.00
_cell_angle_gamma 120.00
_symmetry_space_group_name_H-M 'P 1'
_symmetry_Int_Tables_number 1
_symmetry_space_group_name_Hall 'P 1'
loop_
_atom_site_label
_atom_site_type_symbol
_atom_site_fract_x
_atom_site_fract_y
_atom_site_fract_z
_atom_site_occupancy
Ba1 Ba 0.000 0.000 0.000 1
Hg1 Hg 0.333 0.667 0.500 1
Pt1 Pt 0.667 0.333 0.500 1

=====

# ZrCo2As, relaxed, DFT PBEsol
# SG   Imm2
# Energy   -7.7308 eV/atom
# E_form   -30.2 kJ/mol of atoms
data_ZrCo2As
_chemical_formula_sum 'Zr1 Co2 As1'
_cell_length_a 4.876
_cell_length_b 4.876
_cell_length_c 4.876
_cell_angle_alpha 139.51
_cell_angle_beta 132.53
_cell_angle_gamma 64.12
_symmetry_space_group_name_H-M 'P 1'
_symmetry_Int_Tables_number 1
_symmetry_space_group_name_Hall 'P 1'
loop_
_atom_site_label
_atom_site_type_symbol
_atom_site_fract_x
_atom_site_fract_y
_atom_site_fract_z
_atom_site_occupancy
Zr1 Zr 0.000 0.000 0.000 1
Co1 Co 0.473 0.473 0.000 1
Co2 Co 0.740 0.240 0.500 1
As1 As 0.262 0.762 0.500 1

=====

# K2NaIrF6, relaxed, DFT PBEsol
# SG   Fm-3m
# Energy relative to the elements, uncorrected   -2271 meV/atom
# Energy   -4.7769 eV/atom
data_K2NaIrF6
_chemical_formula_sum 'K2 Na1 Ir1 F6'
_cell_length_a 5.933
_cell_length_b 5.933
_cell_length_c 5.933
_cell_angle_alpha 60.00
_cell_angle_beta 60.00
_cell_angle_gamma 60.00
_symmetry_space_group_name_H-M 'P 1'
_symmetry_Int_Tables_number 1
_symmetry_space_group_name_Hall 'P 1'
loop_
_atom_site_label
_atom_site_type_symbol
_atom_site_fract_x
_atom_site_fract_y
_atom_site_fract_z
_atom_site_occupancy
K1 K 0.250 0.250 0.250 1
K2 K 0.750 0.750 0.750 1
Na1 Na 0.000 0.000 0.000 1
Ir1 Ir 0.500 0.500 0.500 1
F1 F 0.261 0.261 0.739 1
F2 F 0.261 0.739 0.261 1
F3 F 0.261 0.739 0.739 1
F4 F 0.739 0.261 0.261 1
F5 F 0.739 0.261 0.739 1
F6 F 0.739 0.739 0.261 1

=====

# SrInCl, relaxed, DFT PBEsol
# SG   F-43m
# Energy relative to the elements, uncorrected   -740 meV/atom
# Energy   -3.0173 eV/atom
data_SrInCl
_chemical_formula_sum 'Sr1 In1 Cl1'
_cell_length_a 5.082
_cell_length_b 5.082
_cell_length_c 5.082
_cell_angle_alpha 60.00
_cell_angle_beta 60.00
_cell_angle_gamma 60.00
_symmetry_space_group_name_H-M 'P 1'
_symmetry_Int_Tables_number 1
_symmetry_space_group_name_Hall 'P 1'
loop_
_atom_site_label
_atom_site_type_symbol
_atom_site_fract_x
_atom_site_fract_y
_atom_site_fract_z
_atom_site_occupancy
Sr1 Sr 0.000 0.000 0.000 1
In1 In 0.500 0.500 0.500 1
Cl1 Cl 0.250 0.250 0.250 1